Computed, not measured: a relaxed Ca2ScBe crystal at the GGA-PBE level of DFT.

Properties
The calculation puts the energy of formation at 0.4902 eV per atom. Its volume is 114 Å³/f.u.

a = 10.3872 Å, b = 10.3872 Å, c = 10.3872 Å
α = 19.97°, β = 19.97°, γ = 19.97°
With the nearest neighbours (Å) after each atom.
Sites, in units of the cell vectors:
Ca: 0.2355 0.2355 0.2355  3 Be 2.96
Ca: 0.7645 0.7645 0.7645  3 Be 2.96
Sc: 0.0000 0.0000 0.0000  6 Sc 3.60, 6 Ca 3.64
Be: 0.5000 0.5000 0.5000  6 Ca 2.96